Material: Zn2HBr
Method: DFT, PBEsol
State: optimized geometry

Output
V = 137.33 Å³/cell
theoretical density = 5.1 g cm⁻³
uncorrected energy = -2.023 eV per atom
magnetization = 0.00 μB per formula unit

Cell: 7.1505 7.1505 7.1505 Å, 142.05 142.05 54.76°
Closest atoms and distances in Å follow each position.
Element x y z (fractional)
1 Zn 0.3750 0.2093 0.3343  2 H 2.01
2 Zn 0.7907 0.1250 0.1657  2 H 2.01
3 Zn 0.8750 0.0407 0.6657  2 H 2.01
4 Zn 0.9593 0.6250 0.8343  2 H 2.01
5 H 0.0000 0.0000 0.0000  4 Zn 2.01
6 H 0.7500 0.2500 0.5000  4 Zn 2.01
7 Br 0.2500 0.7500 0.5000  4 Zn 2.76
8 Br 0.5000 0.5000 0.0000  4 Zn 2.76

Material: CdBrO2
Method: DFT, PBEsol
State: optimized geometry

Output
E_form (uncorrected) = 0.45 eV/atom
energy above the lowest structure with this stoichiometry = 0.921 eV/atom
V = 52.96 Å³/cell
theoretical density = 7.0 g cm⁻³
magnetization = 1.89 μB per formula unit

Cell: 4.2151 4.2151 4.2151 Å, 60.00 60.00 60.00°
Closest atoms and distances in Å follow each position.
Element x y z (fractional)
1 Cd 0.0000 0.0000 0.0000  8 O 2.58
2 Br 0.5000 0.5000 0.5000  8 O 2.58
3 O 0.2500 0.2500 0.2500  4 Cd 2.58, 4 Br 2.58
4 O 0.7500 0.7500 0.7500  4 Cd 2.58, 4 Br 2.58

Material: ScCuHg2Mo
Method: DFT, PBEsol
State: optimized geometry

Output
V = 125.20 Å³/cell
formation enthalpy at 0 K = 1.484 eV/atom
theoretical density = 8.0 g cm⁻³
magnetization = 4.06 μB per formula unit

Cell: 5.2130 5.2130 4.6071 Å, 90.00 90.00 90.00°
Closest atoms and distances in Å follow each position.
Element x y z (fractional)
1 Sc 0.0000 0.0000 0.0000  2 Cu 2.30
2 Cu 0.0000 0.0000 0.5000  2 Sc 2.30
3 Hg 0.0000 0.5000 0.0000  2 Sc 2.61
4 Hg 0.5000 0.0000 0.0000  2 Sc 2.61
5 Mo 0.5000 0.5000 0.5000  8 Hg 3.48, 4 Cu 3.69

Material: BaFeBiAs2
Method: DFT, PBEsol
State: optimized geometry

Output
V = 186.95 Å³/cell
formation enthalpy at 0 K = 1.145 eV/atom
theoretical density = 4.9 g cm⁻³
magnetization = 3.58 μB per formula unit

Cell: 5.4061 5.4061 6.3966 Å, 90.00 90.00 90.00°
Closest atoms and distances in Å follow each position.
Element x y z (fractional)
1 Ba 0.0000 0.0000 0.0000  2 Bi 3.20
2 Fe 0.5000 0.5000 0.0000  4 Ba 3.82, 8 As 4.19
3 Bi 0.0000 0.0000 0.5000  4 As 2.70
4 As 0.0000 0.5000 0.5000  2 Bi 2.70
5 As 0.5000 0.0000 0.5000  2 Bi 2.70

What is the theoretical density in the fourth record?
4.9 g cm⁻³